KMgIr2: optimized geometry, PBE.

a = 6.308 Å, b = 6.308 Å, c = 6.308 Å
α = 154.48°, β = 129.88°, γ = 57.08°
Element x y z (fractional)
K: 0.000 0.000 0.000
Mg: 0.305 0.805 0.500
Ir: 0.525 0.525 0.000
Ir: 0.716 0.216 0.500

Calculated values
Formation energy from the elements   0.45 eV/atom
Space group   Imm2
Volume   20.6 A^3/atom
Size of the total moment   0.000 μB per atom